## i
PaFeOs | PBE | optimized geometry

## Properties
Crystal system: cubic
Spin magnetization: 1.08 μB/f.u.
Space-group type: F-43m (216)

Cell and atoms, written as extended XYZ:
```
3
Lattice="0.000 3.071 3.071 3.071 0.000 3.071 3.071 3.071 0.000" Properties=species:S:1:pos:R:3 pbc="T T T"
Pa 0.000 0.000 0.000
Fe 4.607 4.607 4.607
Os 1.536 1.536 1.536
```

## ii
PaFeOs | PBE | optimized geometry

## Properties
Crystal system: cubic
Spin magnetization: 1.87 μB/f.u.
Space-group type: F-43m (216)

Cell and atoms, written as extended XYZ:
```
3
Lattice="0.000 3.014 3.014 3.014 0.000 3.014 3.014 3.014 0.000" Properties=species:S:1:pos:R:3 pbc="T T T"
Pa 0.000 0.000 0.000
Fe 1.507 1.507 1.507
Os 3.014 3.014 3.014
```

The most stable structure shown above is ii; the least stable is i.